# Ni9As2 PBE relaxed
data_Ni9As2
_symmetry_space_group_name_H-M 'P 1'
_symmetry_Int_Tables_number 1
_cell_length_a 2.5919
_cell_length_b 2.5919
_cell_length_c 29.0877
_cell_angle_alpha 90.00
_cell_angle_beta 90.00
_cell_angle_gamma 120.00
loop_
_symmetry_equiv_pos_as_xyz
'x,y,z'
loop_
_atom_site_label
_atom_site_type_symbol
_atom_site_fract_x
_atom_site_fract_y
_atom_site_fract_z
Ni1 Ni 0.0000 0.0000 0.0000
Ni2 Ni 0.0000 0.0000 0.2034
Ni3 Ni 0.0000 0.0000 0.7966
Ni4 Ni 0.3333 0.6667 0.1358
Ni5 Ni 0.3333 0.6667 0.7270
Ni6 Ni 0.3333 0.6667 0.9320
Ni7 Ni 0.6667 0.3333 0.0680
Ni8 Ni 0.6667 0.3333 0.2730
Ni9 Ni 0.6667 0.3333 0.8642
As1 As 0.3333 0.6667 0.3400
As2 As 0.6667 0.3333 0.6600
# - E_tot: -58.081 eV per formula unit
# - Space-group type: P-3m1 (164)
# - Calculated volume: 15.38 Å³ per atom

---

# Ni10As PBE relaxed
data_Ni10As
_symmetry_space_group_name_H-M 'P 1'
_symmetry_Int_Tables_number 1
_cell_length_a 4.2312
_cell_length_b 4.2312
_cell_length_c 29.2077
_cell_angle_alpha 90.07
_cell_angle_beta 90.07
_cell_angle_gamma 48.71
loop_
_symmetry_equiv_pos_as_xyz
'x,y,z'
loop_
_atom_site_label
_atom_site_type_symbol
_atom_site_fract_x
_atom_site_fract_y
_atom_site_fract_z
Ni1 Ni 0.0490 0.0490 0.2304
Ni2 Ni 0.0498 0.0498 0.9598
Ni3 Ni 0.1495 0.1495 0.1482
Ni4 Ni 0.1505 0.1505 0.8793
Ni5 Ni 0.2483 0.2483 0.7984
Ni6 Ni 0.2497 0.2497 0.0674
Ni7 Ni 0.3498 0.3498 0.9865
Ni8 Ni 0.3506 0.3506 0.2597
Ni9 Ni 0.4473 0.4473 0.1752
Ni10 Ni 0.4501 0.4501 0.9057
Ni11 Ni 0.5499 0.5499 0.0943
Ni12 Ni 0.5527 0.5527 0.8248
Ni13 Ni 0.6494 0.6494 0.7403
Ni14 Ni 0.6502 0.6502 0.0135
Ni15 Ni 0.7503 0.7503 0.9326
Ni16 Ni 0.7517 0.7517 0.2016
Ni17 Ni 0.8495 0.8495 0.1207
Ni18 Ni 0.8505 0.8505 0.8518
Ni19 Ni 0.9502 0.9502 0.0402
Ni20 Ni 0.9510 0.9510 0.7696
As1 As 0.3497 0.3497 0.7190
As2 As 0.6503 0.6503 0.2810
# - E_tot: -60.354 eV per formula unit
# - Relative energy among the computed polymorphs: 20 meV per atom
# - Space-group type: C2/m (12)
# - Calculated volume: 17.86 Å³ per atom

---

# NiAs8 PBE relaxed
data_NiAs8
_symmetry_space_group_name_H-M 'P 1'
_symmetry_Int_Tables_number 1
_cell_length_a 9.1893
_cell_length_b 9.1893
_cell_length_c 2.7451
_cell_angle_alpha 90.00
_cell_angle_beta 90.00
_cell_angle_gamma 120.00
loop_
_symmetry_equiv_pos_as_xyz
'x,y,z'
loop_
_atom_site_label
_atom_site_type_symbol
_atom_site_fract_x
_atom_site_fract_y
_atom_site_fract_z
Ni1 Ni 0.0000 0.0000 0.0000
As1 As 0.1627 0.3254 0.5000
As2 As 0.1627 0.8373 0.5000
As3 As 0.3254 0.1627 0.5000
As4 As 0.3333 0.6667 0.5000
As5 As 0.6667 0.3333 0.5000
As6 As 0.6746 0.8373 0.5000
As7 As 0.8373 0.1627 0.5000
As8 As 0.8373 0.6746 0.5000
# - E_tot: -40.328 eV per formula unit
# - Space-group type: P6/mmm (191)
# - Calculated volume: 22.31 Å³ per atom